Record 1
Li3CuN2: relaxed, PBE.

Calculated values
**Final energy**: -4.4827 eV per atom
**Total magnetic moment**: 0.00 μB/cell
**Formation energy (no corrections)**: -0.07 eV per atom
**Mass density**: 3.10 Mg/m³

POSCAR file:
```
Li3CuN2
1.0
3.296 -4.992 0.000
3.296 4.992 0.000
0.000 0.000 7.324
Li Cu N
12 4 8
Cartesian
5.166 1.287 7.308 Li
4.722 -1.287 3.645 Li
1.426 -1.287 0.017 Li
1.870 1.287 3.679 Li
4.722 1.287 3.679 Li
5.166 -1.287 0.017 Li
1.870 -1.287 3.645 Li
1.426 1.287 7.308 Li
3.296 3.287 2.057 Li
3.296 1.705 5.720 Li
3.296 -3.287 5.267 Li
3.296 -1.705 1.605 Li
3.296 0.734 1.444 Cu
3.296 4.258 5.106 Cu
3.296 -0.734 5.880 Cu
3.296 -4.258 2.218 Cu
3.296 2.250 0.337 N
3.296 2.742 3.999 N
3.296 -2.250 6.987 N
3.296 -2.742 3.325 N
4.944 -0.039 1.831 N
4.944 0.039 5.493 N
1.648 0.039 5.493 N
1.648 -0.039 1.831 N
```

Record 2
LiCuN: relaxed, PBE.

Calculated values
**Final energy**: -4.5328 eV per atom
**Relative energy among the computed polymorphs**: 8.0 kJ/mol of atoms
**Total magnetic moment**: 0.00 μB/cell
**Formation energy (no corrections)**: 0.25 eV per atom
**Mass density**: 4.60 Mg/m³

POSCAR file:
```
LiCuN
1.0
3.446 0.000 0.000
0.000 3.446 0.000
0.000 0.000 5.141
Li Cu N
2 2 2
Cartesian
0.000 1.723 4.527 Li
1.723 0.000 0.614 Li
0.000 0.000 2.571 Cu
1.723 1.723 2.571 Cu
0.000 1.723 1.396 N
1.723 0.000 3.745 N
```

Record 3
LiCuN2: relaxed, PBE.

Calculated values
**Final energy**: -4.5184 eV per atom
**Relative energy among the computed polymorphs**: 26.0 kJ/mol of atoms
**Total magnetic moment**: 0.00 μB/cell
**Formation energy (no corrections)**: 1.15 eV per atom
**Mass density**: 4.37 Mg/m³

POSCAR file:
```
LiCuN2
1.0
-4.682 4.902 -0.059
-5.292 3.679 2.102
-3.443 5.445 2.111
Li Cu N
1 1 2
Cartesian
-6.708 7.013 2.077 Li
0.000 0.000 0.000 Cu
-12.187 12.741 3.773 N
-1.229 1.284 0.380 N
```

Record 4
NaLi2CuN: relaxed, PBE.

Calculated values
**Final energy**: -3.5569 eV per atom
**Total magnetic moment**: 0.00 μB/cell
**Formation energy (no corrections)**: -0.04 eV per atom
**Mass density**: 2.77 Mg/m³

POSCAR file:
```
NaLi2CuN
1.0
4.249 0.000 0.000
0.000 4.249 0.000
0.000 0.000 3.795
Na Li Cu N
1 2 1 1
Cartesian
2.124 2.124 1.897 Na
0.000 2.124 0.000 Li
2.124 0.000 0.000 Li
0.000 0.000 1.897 Cu
0.000 0.000 0.000 N
```

Record 5
LiCuN2O: relaxed, PBE.

Calculated values
**Final energy**: -4.4930 eV per atom
**Total magnetic moment**: 2.74 μB/cell
**Formation energy (no corrections)**: 1.03 eV per atom
**Mass density**: 3.42 Mg/m³

POSCAR file:
```
LiCuN2O
1.0
3.731 0.000 0.000
0.000 3.731 0.000
0.000 0.000 3.989
Li O Cu N
1 1 1 2
Cartesian
1.865 1.865 1.994 Li
0.000 0.000 1.994 O
0.000 0.000 0.000 Cu
0.000 1.865 0.000 N
1.865 0.000 0.000 N
```

Record 6
LiCuN2O: relaxed, PBE.

Calculated values
**Final energy**: -3.8710 eV per atom
**Total magnetic moment**: 1.28 μB/cell
**Formation energy (no corrections)**: 1.65 eV per atom
**Mass density**: 4.14 Mg/m³

POSCAR file:
```
LiCuN2O
1.0
-1.238 -3.321 -0.462
1.249 0.000 -3.349
3.128 -1.328 1.167
Li O Cu N
1 1 1 2
Cartesian
0.000 0.000 0.000 Li
1.564 -0.664 0.583 O
1.569 -2.325 -1.322 Cu
0.625 0.000 -1.674 N
-0.619 -1.660 -0.231 N
```

Record 7
Li2CuOsN: relaxed, PBE.

Calculated values
**Final energy**: -5.5701 eV per atom
**Total magnetic moment**: 0.00 μB/cell
**Formation energy (no corrections)**: -0.07 eV per atom
**Mass density**: 8.03 Mg/m³

POSCAR file:
```
Li2CuOsN
1.0
-1.747 3.458 -0.416
-1.177 -1.024 -3.571
-3.229 -1.453 1.481
Li Os Cu N
2 1 1 1
Cartesian
-0.589 -0.512 -1.785 Li
-0.874 1.729 -0.208 Li
-1.614 -0.727 0.741 Os
-3.076 0.490 -1.253 Cu
0.000 0.000 0.000 N
```

Record 8
LiCu2PN: relaxed, PBE.

Calculated values
**Final energy**: -4.4371 eV per atom
**Total magnetic moment**: 0.00 μB/cell
**Formation energy (no corrections)**: 0.33 eV per atom
**Mass density**: 4.55 Mg/m³

POSCAR file:
```
LiCu2PN
1.0
3.752 0.000 0.000
0.000 4.644 0.000
0.000 0.000 3.752
P Li Cu N
1 1 2 1
Cartesian
0.000 2.322 0.000 P
1.876 2.322 1.876 Li
0.000 0.000 1.876 Cu
1.876 0.000 0.000 Cu
0.000 0.000 0.000 N
```